# 1
VASP calculation (PBE) on a relaxed structure of Os2PbW.

Cell: 2.8828 2.8828 9.6535 Å, 90.00 90.00 114.30°
Closest atoms and distances in Å follow each position.
Element x y z (fractional)
Os (0.0000, 0.0000, 0.2120)  2 W 2.58, 4 Os 2.88
Os (0.0000, 0.0000, 0.7880)  2 W 2.58, 4 Os 2.88
Pb (0.5000, 0.5000, 0.5000)  6 Pb 2.88-3.13, 4 Os 3.19
W (0.5000, 0.5000, 0.0000)  4 Os 2.58, 4 W 2.88

- Energy of formation from the pure elements: 0.8415 eV/atom
- Theoretical density: 17.52 g cm⁻³

# 2
VASP calculation (PBE) on a relaxed structure of Os2PbW.

Cell: 4.8155 4.8155 4.8155 Å, 128.25 128.25 76.22°
Closest atoms and distances in Å follow each position.
Element x y z (fractional)
Os (0.2500, 0.7500, 0.5000)  4 Pb 2.83, 4 W 2.83, 4 Os 2.97
Os (0.7500, 0.2500, 0.5000)  4 Pb 2.83, 4 W 2.83, 4 Os 2.97
Pb (0.0000, 0.0000, 0.0000)  8 Os 2.83, 4 W 2.97
W (0.5000, 0.5000, 0.0000)  8 Os 2.83, 4 Pb 2.97

- Energy of formation from the pure elements: 0.8227 eV/atom
- Theoretical density: 19.14 g cm⁻³

Number 1: electronic total energy -35.755 eV/cell. Number 2: electronic total energy -35.830 eV/cell.